Below is ZnHRu after structural relaxation, with properties calculated at the PBE level.

```
data_ZnHRu
_cell_length_a 2.7461
_cell_length_b 5.1505
_cell_length_c 9.2300
_cell_angle_alpha 90.00
_cell_angle_beta 90.00
_cell_angle_gamma 90.00
_space_group_name_H-M_alt 'I m m m'
_space_group_IT_number 71
_space_group_name_Hall '-I 2 2'
loop_
_atom_site_label
_atom_site_fract_x
_atom_site_fract_y
_atom_site_fract_z
Zn1 0.0000 0.2363 0.0000
H1 0.0000 0.0000 0.4239
Ru1 0.0000 0.0000 0.2528
```

## Properties
The calculation puts the total energy at -50.838 eV per cell. The energy above the most stable polymorph in this dataset comes out at 0.393 eV/atom.

Below is Ac2PmPr after structural relaxation, with properties calculated at the PBE level.

```
data_Ac2PmPr
_cell_length_a 3.7654
_cell_length_b 3.7654
_cell_length_c 39.8883
_cell_angle_alpha 90.00
_cell_angle_beta 90.00
_cell_angle_gamma 120.00
_space_group_name_H-M_alt 'R -3 m'
_space_group_IT_number 166
_space_group_name_Hall '-R 3 2"'
loop_
_atom_site_label
_atom_site_fract_x
_atom_site_fract_y
_atom_site_fract_z
Ac1 0.0000 0.0000 0.0893
Pm1 0.0000 0.0000 0.5000
Pr1 0.0000 0.0000 0.0000
```

## Properties
The calculation puts the total energy at -50.993 eV per cell. The calculation puts the formation energy at 4.32 kcal/mol of atoms. The energy above the most stable polymorph in this dataset comes out at 0.164 eV/atom.